(1)
Fe3C | Alexandria | PBE | optimized geometry; N(E_F) = 2.982 states/eV/f.u.; final energy = -136.01 eV/cell; crystal system = monoclinic
1.0
-3.044 -3.012 -0.504
-1.409 -3.816 1.431
-9.841 3.735 9.868
Fe C
12 4
direct
0.748 0.748 0.786 Fe
0.252 0.252 0.214 Fe
0.053 0.053 0.707 Fe
0.947 0.947 0.293 Fe
0.123 0.123 0.533 Fe
0.877 0.877 0.467 Fe
0.363 0.363 0.624 Fe
0.637 0.637 0.376 Fe
0.971 0.971 0.878 Fe
0.029 0.029 0.122 Fe
0.652 0.652 0.966 Fe
0.348 0.348 0.034 Fe
0.286 0.286 0.884 C
0.714 0.714 0.116 C
0.681 0.681 0.623 C
0.319 0.319 0.377 C

=====

(2)
Ac3Sn2Ge | Alexandria | PBE | optimized geometry; N(E_F) = 5.568 states/eV/f.u.; energy above the most stable polymorph in this dataset = 117 meV per atom; crystal system = monoclinic
1.0
-3.918 3.147 4.505
4.325 -3.233 6.020
5.824 5.602 -3.902
Ac Sn Ge
6 4 2
direct
0.527 0.250 0.000 Ac
0.473 0.750 0.000 Ac
0.179 0.076 0.309 Ac
0.869 0.424 0.691 Ac
0.131 0.576 0.309 Ac
0.821 0.924 0.691 Ac
0.645 0.587 0.344 Sn
0.699 0.087 0.344 Sn
0.301 0.913 0.656 Sn
0.355 0.413 0.656 Sn
0.961 0.750 0.000 Ge
0.039 0.250 0.000 Ge

=====

(3)
K2BaSr | Alexandria | PBE | optimized geometry; N(E_F) = 6.180 states/eV/f.u.; final energy = -9.38 eV/cell; crystal system = tetragonal
1.0
11.285 0.000 0.000
0.000 11.285 0.000
5.643 5.643 4.281
Sr K Ba
2 4 2
direct
0.500 0.500 0.000 Sr
0.250 0.750 0.500 Sr
0.618 0.125 0.250 K
0.132 0.625 0.250 K
0.375 0.382 0.750 K
0.875 0.868 0.750 K
0.000 0.000 0.000 Ba
0.750 0.250 0.500 Ba

=====

(4)
Y3Ag3Pb4 | Alexandria | PBE | optimized geometry; N(E_F) = 7.809 states/eV/f.u.; final energy = -90.70 eV/cell; crystal system = cubic
1.0
8.292 0.000 -2.932
-4.146 7.181 -2.932
0.000 0.000 8.795
Y Ag Pb
6 6 8
direct
0.625 0.750 0.875 Y
0.875 0.250 0.625 Y
0.125 0.375 0.250 Y
0.375 0.125 0.750 Y
0.250 0.875 0.125 Y
0.750 0.625 0.375 Y
0.125 0.750 0.375 Ag
0.375 0.250 0.125 Ag
0.625 0.875 0.250 Ag
0.875 0.625 0.750 Ag
0.250 0.375 0.625 Ag
0.750 0.125 0.875 Ag
0.000 0.000 0.314 Pb
0.500 0.314 0.500 Pb
0.686 0.186 0.186 Pb
0.000 0.000 0.814 Pb
0.814 0.500 0.000 Pb
0.500 0.814 0.500 Pb
0.314 0.500 0.000 Pb
0.186 0.686 0.686 Pb

=====

(5)
Tb2ThUN4 | Alexandria | PBE | optimized geometry; energy relative to the elements, uncorrected = -1538 meV per atom; N(E_F) = 5.495 states/eV/f.u.; crystal system = monoclinic
1.0
-2.818 -0.202 2.097
-3.618 -0.532 -4.914
1.744 -5.537 1.811
Tb Th U N
2 1 1 4
direct
0.500 0.000 0.500 Tb
0.000 0.500 0.500 Tb
0.500 0.500 0.000 Th
0.000 0.000 0.000 U
0.500 0.229 0.236 N
0.500 0.771 0.764 N
0.000 0.230 0.759 N
0.000 0.770 0.241 N

=====

(6)
ZnInB | Alexandria | PBE | optimized geometry; N(E_F) = 1.239 states/eV/f.u.; final energy = -17.33 eV/cell; crystal system = tetragonal
1.0
-0.360 -0.662 2.846
2.492 -1.569 -0.050
5.568 8.757 2.742
Zn B In
2 2 2
direct
0.000 0.500 0.420 Zn
0.500 0.000 0.580 Zn
0.000 0.000 0.000 B
0.500 0.500 0.000 B
0.000 0.500 0.796 In
0.500 0.000 0.204 In

=====

(7)
CuRu3Rh6 | Alexandria | PBE | optimized geometry; N(E_F) = 12.228 states/eV/f.u.; final energy = -70.06 eV/cell; crystal system = orthorhombic
1.0
-0.702 0.041 -2.578
6.440 -6.241 -1.851
-8.825 -0.495 2.394
Cu Ru Rh
1 3 6
direct
0.000 0.500 0.500 Cu
0.500 0.500 0.000 Ru
0.000 0.000 0.000 Ru
0.500 0.000 0.500 Ru
0.000 0.069 0.308 Rh
0.000 0.931 0.692 Rh
0.000 0.308 0.069 Rh
0.000 0.692 0.931 Rh
0.500 0.638 0.362 Rh
0.500 0.362 0.638 Rh

=====

(8)
Ce2SmTe | Alexandria | PBE | optimized geometry; energy relative to the elements, uncorrected = -546 meV per atom; N(E_F) = 8.106 states/eV/f.u.; energy above the most stable polymorph in this dataset = 0 meV per atom; crystal system = tetragonal
1.0
-3.668 -0.128 -2.039
0.057 -4.196 0.160
-3.308 0.182 5.939
Te Ce Sm
1 2 1
direct
0.500 0.500 0.500 Te
0.000 0.000 0.693 Ce
0.000 0.000 0.307 Ce
0.500 0.500 0.000 Sm